# K2ScTa | the Alexandria database | PBE | relaxed
data_K2ScTa
_cell_length_a 6.3978
_cell_length_b 13.4017
_cell_length_c 3.0346
_cell_angle_alpha 90.00
_cell_angle_beta 117.39
_cell_angle_gamma 90.00
_symmetry_space_group_name_H-M 'C 1 2/m 1'
_symmetry_Int_Tables_number 12
_symmetry_space_group_name_Hall '-C 2y'
loop_
_atom_site_label
_atom_site_fract_x
_atom_site_fract_y
_atom_site_fract_z
K1 0.2500 0.2500 0.0000
Sc1 0.0000 0.0000 0.5000
Ta1 0.0000 0.5000 0.5000
# Formation enthalpy at 0 K in eV per atom: 1.12
# Energy above the lowest structure with this stoichiometry in meV/atom: 465

# In3Ag2Hg3 | the Alexandria database | PBE | relaxed
data_In3Ag2Hg3
_cell_length_a 4.4719
_cell_length_b 4.6085
_cell_length_c 9.3273
_cell_angle_alpha 97.63
_cell_angle_beta 95.23
_cell_angle_gamma 92.96
_symmetry_space_group_name_H-M 'P -1'
_symmetry_Int_Tables_number 2
_symmetry_space_group_name_Hall '-P 1'
loop_
_atom_site_label
_atom_site_fract_x
_atom_site_fract_y
_atom_site_fract_z
In1 0.0000 0.0000 0.0000
In2 0.2002 0.6827 0.2797
Ag1 0.2531 0.2497 0.5002
Hg1 0.2991 0.8146 0.7190
Hg2 0.5000 0.5000 0.0000
# Formation enthalpy at 0 K in eV per atom: 0.03

# LaTb3Ru3 | the Alexandria database | PBE | relaxed
data_LaTb3Ru3
_cell_length_a 9.6497
_cell_length_b 9.6497
_cell_length_c 5.9240
_cell_angle_alpha 90.00
_cell_angle_beta 90.00
_cell_angle_gamma 120.00
_symmetry_space_group_name_H-M 'R 3 m'
_symmetry_Int_Tables_number 160
_symmetry_space_group_name_Hall 'R 3 -2"'
loop_
_atom_site_label
_atom_site_fract_x
_atom_site_fract_y
_atom_site_fract_z
La1 0.0000 0.0000 0.0000
Tb1 0.1951 0.3902 0.2175
Ru1 0.1690 0.3380 0.7411
# Formation enthalpy at 0 K in eV per atom: -0.30

# Sr2CrS2 | the Alexandria database | PBE | relaxed
data_Sr2CrS2
_cell_length_a 7.7132
_cell_length_b 7.7132
_cell_length_c 4.0716
_cell_angle_alpha 90.00
_cell_angle_beta 90.00
_cell_angle_gamma 90.00
_symmetry_space_group_name_H-M 'P 4/m b m'
_symmetry_Int_Tables_number 127
_symmetry_space_group_name_Hall '-P 4 2ab'
loop_
_atom_site_label
_atom_site_fract_x
_atom_site_fract_y
_atom_site_fract_z
Sr1 0.1550 0.3450 0.0000
Cr1 0.0000 0.0000 0.5000
S1 0.1599 0.6599 0.5000
# Energy above the lowest structure with this stoichiometry in meV/atom: 0
# ΔE_f (raw) in eV/atom: -1.048

# AcSmSbCl | the Alexandria database | PBE | relaxed
data_AcSmSbCl
_cell_length_a 7.7282
_cell_length_b 7.7282
_cell_length_c 7.7282
_cell_angle_alpha 90.00
_cell_angle_beta 90.00
_cell_angle_gamma 90.00
_symmetry_space_group_name_H-M 'F -4 3 m'
_symmetry_Int_Tables_number 216
_symmetry_space_group_name_Hall 'F -4 2 3'
loop_
_atom_site_label
_atom_site_fract_x
_atom_site_fract_y
_atom_site_fract_z
Ac1 0.0000 0.0000 0.0000
Sm1 0.0000 0.0000 0.5000
Sb1 0.2500 0.2500 0.7500
Cl1 0.2500 0.2500 0.2500
# ΔE_f (raw) in eV/atom: -1.188

# KNa2WN3 | the Alexandria database | PBE | relaxed
data_KNa2WN3
_cell_length_a 12.4841
_cell_length_b 6.3422
_cell_length_c 12.2445
_cell_angle_alpha 90.00
_cell_angle_beta 90.00
_cell_angle_gamma 90.00
_symmetry_space_group_name_H-M 'P c a 21'
_symmetry_Int_Tables_number 29
_symmetry_space_group_name_Hall 'P 2c -2ac'
loop_
_atom_site_label
_atom_site_fract_x
_atom_site_fract_y
_atom_site_fract_z
K1 0.0228 0.0839 0.0000
K2 0.2020 0.3993 0.7548
Na1 0.0295 0.5020 0.3800
Na2 0.0371 0.5432 0.1289
Na3 0.1183 0.8719 0.7487
Na4 0.2296 0.2425 0.5043
W1 0.1214 0.9732 0.2578
W2 0.2475 0.7314 0.5059
N1 0.0023 0.1830 0.7634
N2 0.0813 0.2499 0.2488
N3 0.1315 0.5731 0.5486
N4 0.1467 0.5484 0.9618
N5 0.2061 0.9043 0.1285
N6 0.2091 0.9256 0.3881
# ΔE_f (raw) in eV/atom: -0.461

# ScTlPd | the Alexandria database | PBE | relaxed
data_ScTlPd
_cell_length_a 14.3288
_cell_length_b 3.3731
_cell_length_c 6.2377
_cell_angle_alpha 90.00
_cell_angle_beta 110.66
_cell_angle_gamma 90.00
_symmetry_space_group_name_H-M 'C 1 2/m 1'
_symmetry_Int_Tables_number 12
_symmetry_space_group_name_Hall '-C 2y'
loop_
_atom_site_label
_atom_site_fract_x
_atom_site_fract_y
_atom_site_fract_z
Sc1 0.0910 0.0000 0.3921
Tl1 0.1296 0.0000 0.9073
Pd1 0.2141 0.5000 0.3029
# Formation enthalpy at 0 K in eV per atom: -0.25

# KRbAgH2 | the Alexandria database | PBE | relaxed
data_KRbAgH2
_cell_length_a 4.7984
_cell_length_b 4.7984
_cell_length_c 5.5488
_cell_angle_alpha 90.00
_cell_angle_beta 90.00
_cell_angle_gamma 90.00
_symmetry_space_group_name_H-M 'P 4/m m m'
_symmetry_Int_Tables_number 123
_symmetry_space_group_name_Hall '-P 4 2'
loop_
_atom_site_label
_atom_site_fract_x
_atom_site_fract_y
_atom_site_fract_z
K1 0.0000 0.0000 0.0000
Rb1 0.5000 0.5000 0.0000
Ag1 0.0000 0.0000 0.5000
H1 0.0000 0.5000 0.5000
# Energy above the lowest structure with this stoichiometry in meV/atom: 566

# Mg2UBr8 | the Alexandria database | PBE | relaxed
data_Mg2UBr8
_cell_length_a 17.0982
_cell_length_b 7.6955
_cell_length_c 6.8520
_cell_angle_alpha 90.00
_cell_angle_beta 94.19
_cell_angle_gamma 90.00
_symmetry_space_group_name_H-M 'C 1 2/m 1'
_symmetry_Int_Tables_number 12
_symmetry_space_group_name_Hall '-C 2y'
loop_
_atom_site_label
_atom_site_fract_x
_atom_site_fract_y
_atom_site_fract_z
Mg1 0.1585 0.0000 0.4330
U1 0.0000 0.0000 0.0000
Br1 0.0700 0.2433 0.2600
Br2 0.1386 0.0000 0.8019
Br3 0.2065 0.5000 0.6406
# ΔE_f (raw) in eV/atom: -1.289

# Ba2ZnCd2 | the Alexandria database | PBE | relaxed
data_Ba2ZnCd2
_cell_length_a 9.4490
_cell_length_b 9.4490
_cell_length_c 4.4987
_cell_angle_alpha 90.00
_cell_angle_beta 90.00
_cell_angle_gamma 90.00
_symmetry_space_group_name_H-M 'P 4/m b m'
_symmetry_Int_Tables_number 127
_symmetry_space_group_name_Hall '-P 4 2ab'
loop_
_atom_site_label
_atom_site_fract_x
_atom_site_fract_y
_atom_site_fract_z
Ba1 0.1682 0.3318 0.0000
Zn1 0.0000 0.0000 0.0000
Cd1 0.1230 0.6230 0.5000
# Formation enthalpy at 0 K in eV per atom: -0.03
# Energy above the lowest structure with this stoichiometry in meV/atom: 230

# PtC2 | the Alexandria database | PBE | relaxed
data_PtC2
_cell_length_a 3.1187
_cell_length_b 3.1187
_cell_length_c 3.9129
_cell_angle_alpha 90.00
_cell_angle_beta 90.00
_cell_angle_gamma 90.00
_symmetry_space_group_name_H-M 'P 4/m m m'
_symmetry_Int_Tables_number 123
_symmetry_space_group_name_Hall '-P 4 2'
loop_
_atom_site_label
_atom_site_fract_x
_atom_site_fract_y
_atom_site_fract_z
Pt1 0.0000 0.0000 0.0000
C1 0.0000 0.0000 0.5000
C2 0.5000 0.5000 0.0000
# Formation enthalpy at 0 K in eV per atom: 2.45
# Energy above the lowest structure with this stoichiometry in meV/atom: 2126

# YAlSe3 | the Alexandria database | PBE | relaxed
data_YAlSe3
_cell_length_a 6.9292
_cell_length_b 6.9292
_cell_length_c 17.8661
_cell_angle_alpha 90.00
_cell_angle_beta 90.00
_cell_angle_gamma 120.00
_symmetry_space_group_name_H-M 'R 3 c'
_symmetry_Int_Tables_number 161
_symmetry_space_group_name_Hall 'R 3 -2"c'
loop_
_atom_site_label
_atom_site_fract_x
_atom_site_fract_y
_atom_site_fract_z
Y1 0.0000 0.0000 0.0000
Al1 0.0000 0.0000 0.2082
Se1 0.0585 0.3461 0.2788
# Energy above the lowest structure with this stoichiometry in meV/atom: 119
# ΔE_f (raw) in eV/atom: -1.252

The DOS(E_F) results, record by record, are as follows: 10.0; 2.0; 8.4; 2.2; 13.4; 0.0; 9.0; 1.5; 7.9; 12.3; 2.2; 0.0 states/eV/cell.